Entry 1:
The following is a GGA-PBE calculation of BaRuS3 after structural relaxation, from Alexandria.

Structure (extended XYZ):
```
5
Lattice="-4.3777 -0.3835 -1.9491 -0.4632 -4.3897 1.9041 -1.9317 1.9218 3.9605" Properties=species:S:1:pos:R:3 pbc="T T T"
S -0.2316 -2.1949 0.9521
S -2.1888 -0.1918 -0.9745
S -0.9658 0.9609 1.9802
Ba -3.3863 -1.4257 1.9578
Ru 0.0000 0.0000 0.0000
```

M_tot: 0.515 μB per atom
Symmetry: Pm-3m, No. 221
Uncorrected formation energy: -72 kJ per mole of atoms
Volume: 111.1 Å³ per cell


Entry 2:
The following is a GGA-PBE calculation of AcPaGa after structural relaxation, from Alexandria.

Structure (extended XYZ):
```
6
Lattice="4.9165 0.0000 0.0000 2.4583 4.2578 0.0000 2.4583 1.4193 9.1167" Properties=species:S:1:pos:R:3 pbc="T T T"
Pa 7.3748 4.2578 3.8555
Pa 2.4583 1.4193 5.2613
Ac 4.9165 2.8386 7.8480
Ac 4.9165 2.8386 1.2687
Ga 7.3748 4.2578 6.7174
Ga 2.4583 1.4193 2.3993
```

Electronic total energy: -5.394 eV/atom
M_tot: 0.387 μB per atom
Symmetry: R-3m, No. 166
Volume: 190.8 Å³ per cell


Entry 3:
The following is a GGA-PBE calculation of KInSnHg after structural relaxation, from Alexandria.

Structure (extended XYZ):
```
4
Lattice="-1.0659 -5.1751 -1.4415 2.5316 -4.1309 2.5539 -2.8117 -3.2616 3.3841" Properties=species:S:1:pos:R:3 pbc="T T T"
Hg -0.6730 -6.2838 2.2483
In 0.0000 0.0000 0.0000
K -1.0095 -9.4257 3.3724
Sn -0.3365 -3.1419 1.1241
```

Electronic total energy: -2.131 eV/atom
M_tot: 0.000 μB per atom
Symmetry: F-43m, No. 216
Volume: 116.2 Å³ per cell


Entry 4:
The following is a GGA-PBE calculation of PmZr2Te4 after structural relaxation, from Alexandria.

Structure (extended XYZ):
```
14
Lattice="-0.1705 2.5629 -3.1473 -0.0446 -6.5373 -2.6992 -14.8843 -0.1732 0.6652" Properties=species:S:1:pos:R:3 pbc="T T T"
Te -0.0852 1.2815 -1.5737
Te -11.3597 -3.3530 -4.7369
Te -9.3578 -2.3388 -1.3977
Te -5.7415 -1.8087 -3.7837
Te -3.7396 -0.7946 -0.4445
Te -7.5274 1.1949 -1.2411
Te -2.0205 -1.7654 -3.9500
Te -13.0788 -2.3821 -1.2314
Zr -0.9230 -1.6180 -1.2675
Zr -14.1763 -2.5296 -3.9138
Zr -6.5986 -1.6840 -1.0139
Zr -8.5007 -2.4635 -4.1675
Pm -3.8248 -4.2429 -3.2480
Pm -11.2745 0.0954 -1.9334
```

M_tot: 0.000 μB per atom
Symmetry: Cmcm, No. 63
Uncorrected formation energy: -90 kJ per mole of atoms
Volume: 410.1 Å³ per cell


Entry 5:
The following is a GGA-PBE calculation of LiAcPrTm after structural relaxation, from Alexandria.

Structure (extended XYZ):
```
4
Lattice="-2.8275 -1.7313 -4.6775 0.3165 -5.4727 -1.6794 -4.5684 -3.4256 0.5157" Properties=species:S:1:pos:R:3 pbc="T T T"
Pr -3.5397 -5.3148 -2.9206
Ac 0.0000 0.0000 0.0000
Tm -5.3096 -7.9722 -4.3809
Li -1.7699 -2.6574 -1.4603
```

Electronic total energy: -3.681 eV/atom
M_tot: 0.000 μB per atom
Symmetry: F-43m, No. 216
Volume: 133.3 Å³ per cell


Entry 6:
The following is a GGA-PBE calculation of CaZnSbH after structural relaxation, from Alexandria.

Structure (extended XYZ):
```
4
Lattice="-0.4520 4.3390 -0.0749 -3.4479 -2.5384 0.8398 1.0123 0.1870 4.7211" Properties=species:S:1:pos:R:3 pbc="T T T"
Zn -1.2540 2.0829 1.1470
Sb -2.4179 -0.2401 0.6813
Ca 0.5952 0.1100 2.7761
H -0.8986 2.1485 2.8048
```

Electronic total energy: -3.216 eV/atom
M_tot: 0.000 μB per atom
Symmetry: P3m1, No. 156
Volume: 79.7 Å³ per cell